# Na8HfMo6O24

A geometry-optimized Na8HfMo6O24 structure (GGA+U, Alexandria via LeMat-Bulk).

Unit cell a=9.9494 b=11.6990 c=12.0011 alpha=90.00 beta=118.63 gamma=90.00
Element x y z (fractional)
Na  0.0804  0.2175  0.3974
Na  0.0804  0.2825  0.8974
Na  0.1672  0.5320  0.3709
Na  0.1672  0.9680  0.8709
Na  0.2769  0.6826  0.6919
Na  0.2769  0.8174  0.1919
Na  0.3313  0.0684  0.7090
Na  0.3313  0.4316  0.2090
Na  0.6687  0.5684  0.7910
Na  0.6687  0.9316  0.2910
Na  0.7231  0.1826  0.8081
Na  0.7231  0.3174  0.3081
Na  0.8328  0.0320  0.1291
Na  0.8328  0.4680  0.6291
Na  0.9196  0.7175  0.1026
Na  0.9196  0.7825  0.6026
Hf  0.5000  0.0000  0.5000
Hf  0.5000  0.5000  0.0000
Mo  0.1086  0.6029  0.9144
Mo  0.1086  0.8971  0.4144
Mo  0.2223  0.1078  0.1790
Mo  0.2223  0.3922  0.6790
Mo  0.4899  0.1862  0.0032
Mo  0.4899  0.3138  0.5032
Mo  0.5101  0.6862  0.4968
Mo  0.5101  0.8138  0.9968
Mo  0.7777  0.6078  0.3210
Mo  0.7777  0.8922  0.8210
Mo  0.8914  0.1029  0.5856
Mo  0.8914  0.3971  0.0856
O  0.0643  0.0222  0.6471
O  0.0643  0.4778  0.1471
O  0.0790  0.1147  0.2272
O  0.0790  0.3853  0.7272
O  0.1094  0.7030  0.0258
O  0.1094  0.7970  0.5258
O  0.1128  0.6766  0.7860
O  0.1128  0.8234  0.2860
O  0.1732  0.5011  0.5638
O  0.1732  0.9989  0.0638
O  0.2431  0.2434  0.1209
O  0.2431  0.2566  0.6209
O  0.2846  0.5101  0.9938
O  0.2846  0.9899  0.4938
O  0.2913  0.1532  0.9136
O  0.2913  0.3468  0.4136
O  0.4039  0.0607  0.3175
O  0.4039  0.4393  0.8175
O  0.4068  0.5897  0.3685
O  0.4068  0.9103  0.8685
O  0.4381  0.6723  0.6055
O  0.4381  0.8277  0.1055
O  0.4769  0.6657  0.9291
O  0.4769  0.8343  0.4291
O  0.5231  0.1657  0.5709
O  0.5231  0.3343  0.0709
O  0.5619  0.1723  0.8945
O  0.5619  0.3277  0.3945
O  0.5932  0.0897  0.1315
O  0.5932  0.4103  0.6315
O  0.5961  0.5607  0.1825
O  0.5961  0.9393  0.6825
O  0.7087  0.6532  0.5864
O  0.7087  0.8468  0.0864
O  0.7154  0.0101  0.5062
O  0.7154  0.4899  0.0062
O  0.7569  0.7434  0.3791
O  0.7569  0.7566  0.8791
O  0.8268  0.0011  0.9362
O  0.8268  0.4989  0.4362
O  0.8872  0.1766  0.7140
O  0.8872  0.3234  0.2140
O  0.8906  0.2030  0.4742
O  0.8906  0.2970  0.9742
O  0.9210  0.6147  0.2728
O  0.9210  0.8853  0.7728
O  0.9357  0.5222  0.8529
O  0.9357  0.9778  0.3529

# NaHfMoO6

A geometry-optimized NaHfMoO6 structure (GGA+U, Alexandria via LeMat-Bulk).

Unit cell a=4.9664 b=4.9664 c=9.6520 alpha=90.00 beta=90.00 gamma=90.00
Element x y z (fractional)
Na  0.0000  0.0000  0.0000
Na  0.5000  0.5000  0.5000
Hf  0.0000  0.0000  0.6623
Hf  0.5000  0.5000  0.1623
Mo  0.0000  0.0000  0.3362
Mo  0.5000  0.5000  0.8362
O  0.1761  0.1761  0.4876
O  0.2108  0.2108  0.2000
O  0.2291  0.2291  0.8022
O  0.2709  0.7291  0.3022
O  0.2892  0.7108  0.7000
O  0.3239  0.6761  0.9876
O  0.6761  0.3239  0.9876
O  0.7108  0.2892  0.7000
O  0.7291  0.2709  0.3022
O  0.7709  0.7709  0.8022
O  0.7892  0.7892  0.2000
O  0.8239  0.8239  0.4876

These records have energy values of -513.8; -133.3 eV per cell, in the order they appear.